Record 1
# GGA-PBEsol CoSi2Ru, optimized geometry
data_CoSi2Ru
_symmetry_space_group_name_H-M 'P 1'
_symmetry_Int_Tables_number 1
_symmetry_space_group_name_Hall 'P 1'
_cell_length_a 6.157
_cell_length_b 6.157
_cell_length_c 5.528
_cell_angle_alpha 90.00
_cell_angle_beta 90.00
_cell_angle_gamma 90.00
loop_
_atom_site_label
_atom_site_type_symbol
_atom_site_fract_x
_atom_site_fract_y
_atom_site_fract_z
Co1 Co 0.000 0.000 0.000
Co2 Co 0.000 0.500 0.250
Co3 Co 0.500 0.000 0.750
Co4 Co 0.500 0.500 0.500
Si1 Si 0.227 0.250 0.125
Si2 Si 0.250 0.727 0.375
Si3 Si 0.250 0.773 0.875
Si4 Si 0.273 0.250 0.625
Si5 Si 0.727 0.750 0.625
Si6 Si 0.750 0.227 0.875
Si7 Si 0.750 0.273 0.375
Si8 Si 0.773 0.750 0.125
Ru1 Ru 0.000 0.000 0.500
Ru2 Ru 0.000 0.500 0.750
Ru3 Ru 0.500 0.000 0.250
Ru4 Ru 0.500 0.500 0.000
# Crystal system ... tetragonal
# Uncorrected formation energy ... 0.07 eV/atom
# Density of states at the Fermi level ... 14.8 states/eV/cell

---

Record 2
# GGA-PBEsol MoAs2OsS, optimized geometry
data_MoAs2OsS
_symmetry_space_group_name_H-M 'P 1'
_symmetry_Int_Tables_number 1
_symmetry_space_group_name_Hall 'P 1'
_cell_length_a 4.557
_cell_length_b 4.557
_cell_length_c 4.276
_cell_angle_alpha 90.00
_cell_angle_beta 90.00
_cell_angle_gamma 90.00
loop_
_atom_site_label
_atom_site_type_symbol
_atom_site_fract_x
_atom_site_fract_y
_atom_site_fract_z
Mo1 Mo 0.000 0.000 0.000
As1 As 0.000 0.500 0.500
As2 As 0.500 0.000 0.500
Os1 Os 0.500 0.500 0.000
S1 S 0.000 0.000 0.500
# Crystal system ... tetragonal
# Uncorrected formation energy ... 1.43 eV/atom
# Density of states at the Fermi level ... 6.5 states/eV/cell

---

Record 3
# GGA-PBEsol Sn2Ge2Sb, optimized geometry
data_Sn2Ge2Sb
_symmetry_space_group_name_H-M 'P 1'
_symmetry_Int_Tables_number 1
_symmetry_space_group_name_Hall 'P 1'
_cell_length_a 4.192
_cell_length_b 4.192
_cell_length_c 14.014
_cell_angle_alpha 90.00
_cell_angle_beta 90.00
_cell_angle_gamma 90.00
loop_
_atom_site_label
_atom_site_type_symbol
_atom_site_fract_x
_atom_site_fract_y
_atom_site_fract_z
Sn1 Sn 0.000 0.500 0.250
Sn2 Sn 0.000 0.500 0.750
Sn3 Sn 0.500 0.000 0.250
Sn4 Sn 0.500 0.000 0.750
Ge1 Ge 0.000 0.000 0.090
Ge2 Ge 0.000 0.000 0.910
Ge3 Ge 0.500 0.500 0.410
Ge4 Ge 0.500 0.500 0.590
Sb1 Sb 0.000 0.000 0.500
Sb2 Sb 0.500 0.500 0.000
# Crystal system ... tetragonal
# Uncorrected formation energy ... 0.28 eV/atom
# Density of states at the Fermi level ... 5.2 states/eV/cell

---

Record 4
# GGA-PBEsol La7YAl8O24, optimized geometry
data_La7YAl8O24
_symmetry_space_group_name_H-M 'P 1'
_symmetry_Int_Tables_number 1
_symmetry_space_group_name_Hall 'P 1'
_cell_length_a 7.518
_cell_length_b 7.518
_cell_length_c 7.518
_cell_angle_alpha 90.00
_cell_angle_beta 90.00
_cell_angle_gamma 90.00
loop_
_atom_site_label
_atom_site_type_symbol
_atom_site_fract_x
_atom_site_fract_y
_atom_site_fract_z
La1 La 0.000 0.000 0.000
La2 La 0.000 0.000 0.500
La3 La 0.000 0.500 0.000
La4 La 0.000 0.500 0.500
La5 La 0.500 0.000 0.000
La6 La 0.500 0.000 0.500
La7 La 0.500 0.500 0.000
Y1 Y 0.500 0.500 0.500
Al1 Al 0.251 0.251 0.251
Al2 Al 0.251 0.251 0.749
Al3 Al 0.251 0.749 0.251
Al4 Al 0.251 0.749 0.749
Al5 Al 0.749 0.251 0.251
Al6 Al 0.749 0.251 0.749
Al7 Al 0.749 0.749 0.251
Al8 Al 0.749 0.749 0.749
O1 O 0.000 0.251 0.251
O2 O 0.000 0.251 0.749
O3 O 0.000 0.749 0.251
O4 O 0.000 0.749 0.749
O5 O 0.251 0.000 0.251
O6 O 0.251 0.000 0.749
O7 O 0.251 0.251 0.000
O8 O 0.251 0.749 0.000
O9 O 0.253 0.253 0.500
O10 O 0.253 0.500 0.253
O11 O 0.253 0.500 0.747
O12 O 0.253 0.747 0.500
O13 O 0.500 0.253 0.253
O14 O 0.500 0.253 0.747
O15 O 0.500 0.747 0.253
O16 O 0.500 0.747 0.747
O17 O 0.747 0.253 0.500
O18 O 0.747 0.500 0.253
O19 O 0.747 0.500 0.747
O20 O 0.747 0.747 0.500
O21 O 0.749 0.000 0.251
O22 O 0.749 0.000 0.749
O23 O 0.749 0.251 0.000
O24 O 0.749 0.749 0.000
# Crystal system ... cubic
# Uncorrected formation energy ... -3.37 eV/atom
# Density of states at the Fermi level ... 0.0 states/eV/cell

---

Record 5
# GGA-PBEsol ScFeTe2, optimized geometry
data_ScFeTe2
_symmetry_space_group_name_H-M 'P 1'
_symmetry_Int_Tables_number 1
_symmetry_space_group_name_Hall 'P 1'
_cell_length_a 3.484
_cell_length_b 3.484
_cell_length_c 6.796
_cell_angle_alpha 90.00
_cell_angle_beta 90.00
_cell_angle_gamma 90.00
loop_
_atom_site_label
_atom_site_type_symbol
_atom_site_fract_x
_atom_site_fract_y
_atom_site_fract_z
Sc1 Sc 0.000 0.000 0.000
Fe1 Fe 0.000 0.000 0.500
Te1 Te 0.500 0.500 0.257
Te2 Te 0.500 0.500 0.743
# Crystal system ... tetragonal
# Uncorrected formation energy ... -0.21 eV/atom
# Density of states at the Fermi level ... 3.5 states/eV/cell

---

Record 6
# GGA-PBEsol TaCo2Pb, optimized geometry
data_TaCo2Pb
_symmetry_space_group_name_H-M 'P 1'
_symmetry_Int_Tables_number 1
_symmetry_space_group_name_Hall 'P 1'
_cell_length_a 3.754
_cell_length_b 3.754
_cell_length_c 8.377
_cell_angle_alpha 90.00
_cell_angle_beta 90.00
_cell_angle_gamma 90.00
loop_
_atom_site_label
_atom_site_type_symbol
_atom_site_fract_x
_atom_site_fract_y
_atom_site_fract_z
Ta1 Ta 0.000 0.000 0.000
Ta2 Ta 0.500 0.500 0.500
Co1 Co 0.000 0.000 0.500
Co2 Co 0.000 0.500 0.250
Co3 Co 0.500 0.000 0.750
Co4 Co 0.500 0.500 0.000
Pb1 Pb 0.000 0.500 0.750
Pb2 Pb 0.500 0.000 0.250
# Crystal system ... tetragonal
# Density of states at the Fermi level ... 7.9 states/eV/cell

---

Record 7
# GGA-PBEsol LiCeSn, optimized geometry
data_LiCeSn
_symmetry_space_group_name_H-M 'P 1'
_symmetry_Int_Tables_number 1
_symmetry_space_group_name_Hall 'P 1'
_cell_length_a 9.558
_cell_length_b 9.558
_cell_length_c 7.147
_cell_angle_alpha 90.00
_cell_angle_beta 90.00
_cell_angle_gamma 120.00
loop_
_atom_site_label
_atom_site_type_symbol
_atom_site_fract_x
_atom_site_fract_y
_atom_site_fract_z
Li1 Li 0.167 0.333 0.000
Li2 Li 0.167 0.833 0.000
Li3 Li 0.333 0.167 0.500
Li4 Li 0.333 0.667 0.570
Li5 Li 0.667 0.333 0.070
Li6 Li 0.667 0.833 0.000
Li7 Li 0.833 0.167 0.500
Li8 Li 0.833 0.667 0.500
Ce1 Ce 0.000 0.000 0.274
Ce2 Ce 0.000 0.000 0.774
Ce3 Ce 0.012 0.506 0.275
Ce4 Ce 0.494 0.506 0.275
Ce5 Ce 0.494 0.988 0.275
Ce6 Ce 0.506 0.012 0.775
Ce7 Ce 0.506 0.494 0.775
Ce8 Ce 0.988 0.494 0.775
Sn1 Sn 0.167 0.333 0.534
Sn2 Sn 0.167 0.833 0.534
Sn3 Sn 0.333 0.167 0.034
Sn4 Sn 0.333 0.667 0.011
Sn5 Sn 0.667 0.333 0.511
Sn6 Sn 0.667 0.833 0.534
Sn7 Sn 0.833 0.167 0.034
Sn8 Sn 0.833 0.667 0.034
# Crystal system ... hexagonal
# Density of states at the Fermi level ... 51.1 states/eV/cell

---

Record 8
# GGA-PBEsol MgAl2Rh, optimized geometry
data_MgAl2Rh
_symmetry_space_group_name_H-M 'P 1'
_symmetry_Int_Tables_number 1
_symmetry_space_group_name_Hall 'P 1'
_cell_length_a 6.203
_cell_length_b 6.203
_cell_length_c 6.203
_cell_angle_alpha 90.00
_cell_angle_beta 90.00
_cell_angle_gamma 90.00
loop_
_atom_site_label
_atom_site_type_symbol
_atom_site_fract_x
_atom_site_fract_y
_atom_site_fract_z
Mg1 Mg 0.000 0.000 0.000
Mg2 Mg 0.000 0.500 0.500
Mg3 Mg 0.500 0.000 0.500
Mg4 Mg 0.500 0.500 0.000
Al1 Al 0.000 0.000 0.500
Al2 Al 0.000 0.500 0.000
Al3 Al 0.250 0.250 0.750
Al4 Al 0.250 0.750 0.250
Al5 Al 0.500 0.000 0.000
Al6 Al 0.500 0.500 0.500
Al7 Al 0.750 0.250 0.250
Al8 Al 0.750 0.750 0.750
Rh1 Rh 0.250 0.250 0.250
Rh2 Rh 0.250 0.750 0.750
Rh3 Rh 0.750 0.250 0.750
Rh4 Rh 0.750 0.750 0.250
# Crystal system ... cubic
# Density of states at the Fermi level ... 5.2 states/eV/cell

---

Record 9
# GGA-PBEsol Li2TaFe, optimized geometry
data_Li2TaFe
_symmetry_space_group_name_H-M 'P 1'
_symmetry_Int_Tables_number 1
_symmetry_space_group_name_Hall 'P 1'
_cell_length_a 5.904
_cell_length_b 5.904
_cell_length_c 5.904
_cell_angle_alpha 90.00
_cell_angle_beta 90.00
_cell_angle_gamma 90.00
loop_
_atom_site_label
_atom_site_type_symbol
_atom_site_fract_x
_atom_site_fract_y
_atom_site_fract_z
Li1 Li 0.000 0.000 0.000
Li2 Li 0.000 0.500 0.500
Li3 Li 0.250 0.250 0.250
Li4 Li 0.250 0.750 0.750
Li5 Li 0.500 0.000 0.500
Li6 Li 0.500 0.500 0.000
Li7 Li 0.750 0.250 0.750
Li8 Li 0.750 0.750 0.250
Ta1 Ta 0.250 0.250 0.750
Ta2 Ta 0.250 0.750 0.250
Ta3 Ta 0.750 0.250 0.250
Ta4 Ta 0.750 0.750 0.750
Fe1 Fe 0.000 0.000 0.500
Fe2 Fe 0.000 0.500 0.000
Fe3 Fe 0.500 0.000 0.000
Fe4 Fe 0.500 0.500 0.500
# Crystal system ... cubic
# ΔE to the lowest computed polymorph ... 0.77 eV per formula unit
# Density of states at the Fermi level ... 16.1 states/eV/cell

---

Record 10
# GGA-PBEsol In3FeAg, optimized geometry
data_In3FeAg
_symmetry_space_group_name_H-M 'P 1'
_symmetry_Int_Tables_number 1
_symmetry_space_group_name_Hall 'P 1'
_cell_length_a 4.868
_cell_length_b 4.868
_cell_length_c 4.868
_cell_angle_alpha 90.00
_cell_angle_beta 90.00
_cell_angle_gamma 90.00
loop_
_atom_site_label
_atom_site_type_symbol
_atom_site_fract_x
_atom_site_fract_y
_atom_site_fract_z
In1 In 0.000 0.000 0.500
In2 In 0.000 0.500 0.000
In3 In 0.500 0.000 0.000
Fe1 Fe 0.000 0.000 0.000
Ag1 Ag 0.500 0.500 0.500
# Crystal system ... cubic
# Density of states at the Fermi level ... 3.9 states/eV/cell

---

Record 11
# GGA-PBEsol CdHgBr2, optimized geometry
data_CdHgBr2
_symmetry_space_group_name_H-M 'P 1'
_symmetry_Int_Tables_number 1
_symmetry_space_group_name_Hall 'P 1'
_cell_length_a 3.910
_cell_length_b 3.910
_cell_length_c 27.620
_cell_angle_alpha 90.00
_cell_angle_beta 90.00
_cell_angle_gamma 120.00
loop_
_atom_site_label
_atom_site_type_symbol
_atom_site_fract_x
_atom_site_fract_y
_atom_site_fract_z
Cd1 Cd 0.000 0.000 0.000
Cd2 Cd 0.333 0.667 0.667
Cd3 Cd 0.667 0.333 0.333
Hg1 Hg 0.000 0.000 0.500
Hg2 Hg 0.333 0.667 0.167
Hg3 Hg 0.667 0.333 0.833
Br1 Br 0.000 0.000 0.276
Br2 Br 0.000 0.000 0.724
Br3 Br 0.333 0.667 0.391
Br4 Br 0.333 0.667 0.942
Br5 Br 0.667 0.333 0.058
Br6 Br 0.667 0.333 0.609
# Crystal system ... trigonal
# Uncorrected formation energy ... -0.54 eV/atom
# ΔE to the lowest computed polymorph ... 0.00 eV per formula unit

---

Record 12
# GGA-PBEsol TaZn2Co, optimized geometry
data_TaZn2Co
_symmetry_space_group_name_H-M 'P 1'
_symmetry_Int_Tables_number 1
_symmetry_space_group_name_Hall 'P 1'
_cell_length_a 3.705
_cell_length_b 3.705
_cell_length_c 7.935
_cell_angle_alpha 90.00
_cell_angle_beta 90.00
_cell_angle_gamma 90.00
loop_
_atom_site_label
_atom_site_type_symbol
_atom_site_fract_x
_atom_site_fract_y
_atom_site_fract_z
Ta1 Ta 0.000 0.000 0.000
Ta2 Ta 0.500 0.500 0.500
Zn1 Zn 0.000 0.500 0.250
Zn2 Zn 0.000 0.500 0.750
Zn3 Zn 0.500 0.000 0.250
Zn4 Zn 0.500 0.000 0.750
Co1 Co 0.000 0.000 0.500
Co2 Co 0.500 0.500 0.000
# Crystal system ... tetragonal
# ΔE to the lowest computed polymorph ... 0.91 eV per formula unit
# Density of states at the Fermi level ... 7.5 states/eV/cell

---

In eV for the cell shown, the total energy values for the records above are, in order, -116.42; -31.41; -43.13; -337.61; -23.46; -61.26; -114.17; -77.54; -94.59; -19.34; -22.99; -45.89.
In μB per cell, the M_tot values for the records above are, in order, 0.001; 0.006; 0.000; 0.000; 3.126; 0.002; 6.437; 0.001; 0.005; 0.811; 0.000; 2.104.